# La2ZnHg2

A relaxed structure of La2ZnHg2 (PBE, Alexandria).

Energy of formation in meV per atom: -346
M_tot in μB per formula unit: 0.00
Polymorph energy (0 for the lowest one) in meV/atom: 3

Cell and atoms, written as CIF:
```
data_La2ZnHg2
_cell_length_a 7.6521
_cell_length_b 7.6521
_cell_length_c 4.7761
_cell_angle_alpha 90.00
_cell_angle_beta 90.00
_cell_angle_gamma 90.00
_space_group_name_H-M_alt 'P 4/m b m'
_space_group_IT_number 127
_space_group_name_Hall '-P 4 2ab'
loop_
_atom_site_label
_atom_site_type_symbol
_atom_site_fract_x
_atom_site_fract_y
_atom_site_fract_z
La1 La 0.1621 0.3379 0.0000
Zn1 Zn 0.0000 0.0000 0.5000
Hg1 Hg 0.1419 0.6419 0.5000
```

=====

# Tb6Pr2Sm3Y

A relaxed structure of Tb6Pr2Sm3Y (PBE, Alexandria).

Energy of formation in meV per atom: 13
M_tot in μB per formula unit: 0.00

Cell and atoms, written as CIF:
```
data_Tb6Pr2Sm3Y
_cell_length_a 6.2497
_cell_length_b 10.8187
_cell_length_c 11.9338
_cell_angle_alpha 90.00
_cell_angle_beta 100.02
_cell_angle_gamma 90.00
_space_group_name_H-M_alt 'C 1 2/m 1'
_space_group_IT_number 12
loop_
_space_group_symop_operation_xyz
'x,y,z'
'-x,-y,-z'
'-x,y,-z'
'x,-y,z'
'x+1/2,y+1/2,z'
'-x+1/2,-y+1/2,-z'
'-x+1/2,y+1/2,-z'
'x+1/2,-y+1/2,z'
loop_
_atom_site_label
_atom_site_type_symbol
_atom_site_fract_x
_atom_site_fract_y
_atom_site_fract_z
Tb1 Tb 0.2490 0.0000 0.2484
Tb2 Tb 0.2504 0.1665 0.7512
Pr1 Pr 0.0000 0.3335 0.5000
Sm1 Sm 0.0000 0.1667 0.0000
Sm2 Sm 0.0000 0.5000 0.0000
Y1 Y 0.0000 0.0000 0.5000
```

=====

# Pm8NiIr5

A relaxed structure of Pm8NiIr5 (PBE, Alexandria).

Energy of formation in meV per atom: -579
M_tot in μB per formula unit: 0.00

Cell and atoms, written as CIF:
```
data_Pm8NiIr5
_cell_length_a 8.7992
_cell_length_b 8.7992
_cell_length_c 8.8361
_cell_angle_alpha 90.00
_cell_angle_beta 90.00
_cell_angle_gamma 90.00
_space_group_name_H-M_alt 'I -4'
_space_group_IT_number 82
loop_
_space_group_symop_operation_xyz
'x,y,z'
'y,-x,-z'
'-x,-y,z'
'-y,x,-z'
'x+1/2,y+1/2,z+1/2'
'y+1/2,-x+1/2,-z+1/2'
'-x+1/2,-y+1/2,z+1/2'
'-y+1/2,x+1/2,-z+1/2'
loop_
_atom_site_label
_atom_site_type_symbol
_atom_site_fract_x
_atom_site_fract_y
_atom_site_fract_z
Pm1 Pm 0.0628 0.1875 0.1897
Pm2 Pm 0.0642 0.3115 0.5666
Ni1 Ni 0.0000 0.5000 0.2500
Ir1 Ir 0.0000 0.0000 0.5000
Ir2 Ir 0.1277 0.2487 0.8777
```

=====

# NdBe2Pd

A relaxed structure of NdBe2Pd (PBE, Alexandria).

Energy of formation in meV per atom: -351
M_tot in μB per formula unit: 0.00

Cell and atoms, written as CIF:
```
data_NdBe2Pd
_cell_length_a 3.9591
_cell_length_b 3.9591
_cell_length_c 15.1643
_cell_angle_alpha 90.00
_cell_angle_beta 90.00
_cell_angle_gamma 120.00
_space_group_name_H-M_alt 'R -3 m'
_space_group_IT_number 166
_space_group_name_Hall '-R 3 2"'
loop_
_atom_site_label
_atom_site_type_symbol
_atom_site_fract_x
_atom_site_fract_y
_atom_site_fract_z
Nd1 Nd 0.0000 0.0000 0.0000
Be1 Be 0.0000 0.0000 0.1920
Pd1 Pd 0.0000 0.0000 0.5000
```

=====

# SrCrPd

A relaxed structure of SrCrPd (PBE, Alexandria).

Energy of formation in meV per atom: 154
M_tot in μB per formula unit: 4.66
Polymorph energy (0 for the lowest one) in meV/atom: 154

Cell and atoms, written as CIF:
```
data_SrCrPd
_cell_length_a 4.2272
_cell_length_b 4.6076
_cell_length_c 7.6852
_cell_angle_alpha 90.00
_cell_angle_beta 90.00
_cell_angle_gamma 90.00
_space_group_name_H-M_alt 'P m m 2'
_space_group_IT_number 25
loop_
_space_group_symop_operation_xyz
'x,y,z'
'-x,-y,z'
'-x,y,z'
'x,-y,z'
loop_
_atom_site_label
_atom_site_type_symbol
_atom_site_fract_x
_atom_site_fract_y
_atom_site_fract_z
Sr1 Sr 0.0000 0.0000 0.0000
Sr2 Sr 0.5000 0.5000 0.3441
Cr1 Cr 0.5000 0.0000 0.6503
Cr2 Cr 0.5000 0.5000 0.8714
Pd1 Pd 0.0000 0.0000 0.4407
Pd2 Pd 0.0000 0.5000 0.6669
```

=====

# SeIN2

A relaxed structure of SeIN2 (PBE, Alexandria).

M_tot in μB per formula unit: 0.00
Polymorph energy (0 for the lowest one) in meV/atom: 252
Formation energy from raw total energies in kJ/mol of formula units: 665.9

Cell and atoms, written as CIF:
```
data_SeIN2
_cell_length_a 5.9591
_cell_length_b 5.9591
_cell_length_c 8.1212
_cell_angle_alpha 90.00
_cell_angle_beta 90.00
_cell_angle_gamma 90.00
_space_group_name_H-M_alt 'I -4 2 d'
_space_group_IT_number 122
_space_group_name_Hall 'I -4 2bw'
loop_
_atom_site_label
_atom_site_type_symbol
_atom_site_fract_x
_atom_site_fract_y
_atom_site_fract_z
Se1 Se 0.0000 0.0000 0.0000
I1 I 0.0000 0.0000 0.5000
N1 N 0.1494 0.2500 0.1250
```

=====

# ZrCuO2

A relaxed structure of ZrCuO2 (PBE, Alexandria).

M_tot in μB per formula unit: 0.97
Formation energy from raw total energies in kJ/mol of formula units: -533.3

Cell and atoms, written as CIF:
```
data_ZrCuO2
_cell_length_a 5.5458
_cell_length_b 5.5458
_cell_length_c 5.5458
_cell_angle_alpha 90.00
_cell_angle_beta 90.00
_cell_angle_gamma 90.00
_space_group_name_H-M_alt 'F m -3 m'
_space_group_IT_number 225
_space_group_name_Hall '-F 4 2 3'
loop_
_atom_site_label
_atom_site_type_symbol
_atom_site_fract_x
_atom_site_fract_y
_atom_site_fract_z
Zr1 Zr 0.0000 0.0000 0.0000
Cu1 Cu 0.0000 0.0000 0.5000
O1 O 0.2500 0.2500 0.2500
```

=====

# TePbF3

A relaxed structure of TePbF3 (PBE, Alexandria).

M_tot in μB per formula unit: 0.00
Polymorph energy (0 for the lowest one) in meV/atom: 262
Formation energy from raw total energies in kJ/mol of formula units: -528.7

Cell and atoms, written as CIF:
```
data_TePbF3
_cell_length_a 4.7106
_cell_length_b 4.7106
_cell_length_c 4.7106
_cell_angle_alpha 90.00
_cell_angle_beta 90.00
_cell_angle_gamma 90.00
_space_group_name_H-M_alt 'P m -3 m'
_space_group_IT_number 221
_space_group_name_Hall '-P 4 2 3'
loop_
_atom_site_label
_atom_site_type_symbol
_atom_site_fract_x
_atom_site_fract_y
_atom_site_fract_z
Te1 Te 0.0000 0.0000 0.0000
Pb1 Pb 0.5000 0.5000 0.5000
F1 F 0.0000 0.0000 0.5000
```

=====

# CsMgV

A relaxed structure of CsMgV (PBE, Alexandria).

Energy of formation in meV per atom: 563
M_tot in μB per formula unit: 0.48
Polymorph energy (0 for the lowest one) in meV/atom: 67

Cell and atoms, written as CIF:
```
data_CsMgV
_cell_length_a 3.4443
_cell_length_b 4.6436
_cell_length_c 26.7140
_cell_angle_alpha 90.00
_cell_angle_beta 90.00
_cell_angle_gamma 90.00
_space_group_name_H-M_alt 'P n m a'
_space_group_IT_number 62
loop_
_space_group_symop_operation_xyz
'x,y,z'
'-x,-y,-z'
'-x+1/2,-y,z+1/2'
'x+1/2,y,-z+1/2'
'x+1/2,-y+1/2,-z+1/2'
'-x+1/2,y+1/2,z+1/2'
'-x,y+1/2,-z'
'x,-y+1/2,z'
loop_
_atom_site_label
_atom_site_type_symbol
_atom_site_fract_x
_atom_site_fract_y
_atom_site_fract_z
Cs1 Cs 0.0563 0.2500 0.0891
Mg1 Mg 0.0511 0.7500 0.2963
V1 V 0.0512 0.2500 0.2200
```

=====

# Pr2ZnCo

A relaxed structure of Pr2ZnCo (PBE, Alexandria).

Energy of formation in meV per atom: -77
M_tot in μB per formula unit: 0.00
Polymorph energy (0 for the lowest one) in meV/atom: 69

Cell and atoms, written as CIF:
```
data_Pr2ZnCo
_cell_length_a 7.1944
_cell_length_b 7.1944
_cell_length_c 7.1944
_cell_angle_alpha 90.00
_cell_angle_beta 90.00
_cell_angle_gamma 90.00
_space_group_name_H-M_alt 'F m -3 m'
_space_group_IT_number 225
_space_group_name_Hall '-F 4 2 3'
loop_
_atom_site_label
_atom_site_type_symbol
_atom_site_fract_x
_atom_site_fract_y
_atom_site_fract_z
Pr1 Pr 0.2500 0.2500 0.2500
Zn1 Zn 0.0000 0.0000 0.0000
Co1 Co 0.0000 0.0000 0.5000
```

=====

# DyTmHgOs

A relaxed structure of DyTmHgOs (PBE, Alexandria).

Energy of formation in meV per atom: -284
M_tot in μB per formula unit: 0.00
Polymorph energy (0 for the lowest one) in meV/atom: 127

Cell and atoms, written as CIF:
```
data_DyTmHgOs
_cell_length_a 7.0455
_cell_length_b 7.0455
_cell_length_c 7.0455
_cell_angle_alpha 90.00
_cell_angle_beta 90.00
_cell_angle_gamma 90.00
_space_group_name_H-M_alt 'F -4 3 m'
_space_group_IT_number 216
_space_group_name_Hall 'F -4 2 3'
loop_
_atom_site_label
_atom_site_type_symbol
_atom_site_fract_x
_atom_site_fract_y
_atom_site_fract_z
Dy1 Dy 0.0000 0.0000 0.0000
Tm1 Tm 0.0000 0.0000 0.5000
Hg1 Hg 0.2500 0.2500 0.2500
Os1 Os 0.2500 0.2500 0.7500
```

=====

# Sc2MnPdPt

A relaxed structure of Sc2MnPdPt (PBE, Alexandria).

Energy of formation in meV per atom: 218
M_tot in μB per formula unit: 0.38

Cell and atoms, written as CIF:
```
data_Sc2MnPdPt
_cell_length_a 4.7172
_cell_length_b 4.7172
_cell_length_c 4.3863
_cell_angle_alpha 90.00
_cell_angle_beta 90.00
_cell_angle_gamma 90.00
_space_group_name_H-M_alt 'P 4/m m m'
_space_group_IT_number 123
_space_group_name_Hall '-P 4 2'
loop_
_atom_site_label
_atom_site_type_symbol
_atom_site_fract_x
_atom_site_fract_y
_atom_site_fract_z
Sc1 Sc 0.0000 0.5000 0.0000
Mn1 Mn 0.0000 0.0000 0.0000
Pd1 Pd 0.0000 0.0000 0.5000
Pt1 Pt 0.5000 0.5000 0.5000
```

=====

# TiINO2

A relaxed structure of TiINO2 (PBE, Alexandria).

M_tot in μB per formula unit: 0.00
Formation energy from raw total energies in kJ/mol of formula units: -310.0

Cell and atoms, written as CIF:
```
data_TiINO2
_cell_length_a 3.8137
_cell_length_b 3.8137
_cell_length_c 4.4760
_cell_angle_alpha 90.00
_cell_angle_beta 90.00
_cell_angle_gamma 90.00
_space_group_name_H-M_alt 'P 4/m m m'
_space_group_IT_number 123
_space_group_name_Hall '-P 4 2'
loop_
_atom_site_label
_atom_site_type_symbol
_atom_site_fract_x
_atom_site_fract_y
_atom_site_fract_z
Ti1 Ti 0.0000 0.0000 0.0000
I1 I 0.5000 0.5000 0.5000
N1 N 0.0000 0.0000 0.5000
O1 O 0.0000 0.5000 0.0000
```